Compound: NaNb6Te8
Source: Alexandria
Functional: GGA-PBEsol
Structure: optimized geometry

Lattice parameters (Å, degrees): 3.6389 10.6084 10.6084 120.00 90.00 90.00
Last column: nearest neighbours and their distance in Å.
Fractional coordinates of all 15 atoms:
Nb: 0.2510 0.3872 0.8980  6 Te 2.78-2.97, 2 Nb 2.92-2.93
Te: 0.2477 0.0644 0.7312  4 Nb 2.78-2.97
Na: 0.5000 0.0000 0.0000  6 Te 3.37, 2 Na 3.64
Nb: 0.2510 0.1020 0.4893  6 Te 2.78-2.97, 2 Nb 2.92-2.93
Te: 0.2477 0.6668 0.9356  4 Nb 2.78-2.97
Te: 0.7523 0.3332 0.0644  4 Nb 2.78-2.97
Nb: 0.2510 0.5107 0.6128  6 Te 2.78-2.97, 2 Nb 2.92-2.93
Te: 0.7523 0.7312 0.6668  4 Nb 2.78-2.97
Te: 0.7506 0.3333 0.6667  6 Nb 2.87
Nb: 0.7490 0.8980 0.5107  6 Te 2.78-2.97, 2 Nb 2.92-2.93
Te: 0.7523 0.9356 0.2688  4 Nb 2.78-2.97
Te: 0.2494 0.6667 0.3333  6 Nb 2.87
Nb: 0.7490 0.6128 0.1020  6 Te 2.78-2.97, 2 Nb 2.92-2.93
Nb: 0.7490 0.4893 0.3872  6 Te 2.78-2.97, 2 Nb 2.92-2.93
Te: 0.2477 0.2688 0.3332  4 Nb 2.78-2.97

**Total magnetization**: 0.00 μB/cell
**Uncorrected energy**: -6.81 eV/atom
**Formation energy from raw total energies**: -0.5108 eV/atom
**Symmetry**: P-3 (147)

***

Compound: Na2YNb
Source: Alexandria
Functional: GGA-PBEsol
Structure: optimized geometry

Lattice parameters (Å, degrees): 5.5397 6.6428 6.6428 79.99 65.36 65.36
Last column: nearest neighbours and their distance in Å.
Fractional coordinates of all 8 atoms:
Nb: 0.0000 0.0000 0.0000  2 Y 2.77, 4 Na 3.02
Na: 0.1116 0.0134 0.5134  2 Na 2.78, 2 Nb 3.02
Na: 0.3750 0.5134 0.9866  2 Na 2.78, 2 Nb 3.02
Na: 0.8750 0.4866 0.0134  2 Na 2.78, 2 Nb 3.02
Na: 0.6384 0.9866 0.4866  2 Na 2.78, 2 Nb 3.02
Y: 0.5000 0.0000 0.0000  2 Nb 2.77
Nb: 0.7500 0.5000 0.5000  2 Y 2.77, 4 Na 3.02
Y: 0.2500 0.5000 0.5000  2 Nb 2.77

**Total magnetization**: 1.72 μB/cell
**Energy of formation**: 1091 meV per atom
**Uncorrected energy**: -4.02 eV/atom
**Symmetry**: I-42d (122)

***

Compound: NaNb3Zn
Source: Alexandria
Functional: GGA-PBEsol
Structure: optimized geometry

Lattice parameters (Å, degrees): 4.7819 4.7819 4.7819 90.00 90.00 90.00
Last column: nearest neighbours and their distance in Å.
Fractional coordinates of all 5 atoms:
Nb: 0.0000 0.5000 0.0000  2 Zn 2.39
Zn: 0.0000 0.0000 0.0000  6 Nb 2.39
Na: 0.5000 0.5000 0.5000  12 Nb 3.38
Nb: 0.0000 0.0000 0.5000  2 Zn 2.39
Nb: 0.5000 0.0000 0.0000  2 Zn 2.39

**Total magnetization**: 0.00 μB/cell
**Energy of formation**: 1471 meV per atom
**Uncorrected energy**: -5.62 eV/atom
**Symmetry**: Pm-3m (221)

***

Copy entry 3 word for word.
Compound: NaNb3Zn
Source: Alexandria
Functional: GGA-PBEsol
Structure: optimized geometry

Lattice parameters (Å, degrees): 4.7819 4.7819 4.7819 90.00 90.00 90.00
Last column: nearest neighbours and their distance in Å.
Fractional coordinates of all 5 atoms:
Nb: 0.0000 0.5000 0.0000  2 Zn 2.39
Zn: 0.0000 0.0000 0.0000  6 Nb 2.39
Na: 0.5000 0.5000 0.5000  12 Nb 3.38
Nb: 0.0000 0.0000 0.5000  2 Zn 2.39
Nb: 0.5000 0.0000 0.0000  2 Zn 2.39

**Total magnetization**: 0.00 μB/cell
**Energy of formation**: 1471 meV per atom
**Uncorrected energy**: -5.62 eV/atom
**Symmetry**: Pm-3m (221)

***

Question: Among the records above, which one has the lowest uncorrected energy?
Answer: NaNb6Te8

***

Question: Among the records above, which one has the highest total magnetization?
Answer: Na2YNb

***

Question: Look up the total magnetization of the first one.
Answer: 0.00 μB/cell